1.
Here is a relaxed structure of ScPb5 from the Alexandria database. Energies are from PBE-GGA.

Structure (CIF):
```
data_ScPb5
_symmetry_space_group_name_H-M 'P 1'
_symmetry_Int_Tables_number 1
_symmetry_space_group_name_Hall 'P 1'
_cell_length_a 3.493
_cell_length_b 3.493
_cell_length_c 14.512
_cell_angle_alpha 90.00
_cell_angle_beta 90.00
_cell_angle_gamma 90.00
loop_
_atom_site_label
_atom_site_type_symbol
_atom_site_fract_x
_atom_site_fract_y
_atom_site_fract_z
Sc1 Sc 0.000 0.000 0.000
Pb1 Pb 0.000 0.000 0.324
Pb2 Pb 0.000 0.000 0.676
Pb3 Pb 0.500 0.500 0.143
Pb4 Pb 0.500 0.500 0.500
Pb5 Pb 0.500 0.500 0.857
```

Output
- N(E_F): 5.71 states/eV/f.u.
- Symmetry: P4/mmm
- Crystal system: tetragonal

2.
Here is a relaxed structure of ScPb5 from the Alexandria database. Energies are from PBE-GGA.

Structure (CIF):
```
data_ScPb5
_symmetry_space_group_name_H-M 'P 1'
_symmetry_Int_Tables_number 1
_symmetry_space_group_name_Hall 'P 1'
_cell_length_a 6.223
_cell_length_b 6.223
_cell_length_c 5.989
_cell_angle_alpha 90.00
_cell_angle_beta 90.00
_cell_angle_gamma 120.00
loop_
_atom_site_label
_atom_site_type_symbol
_atom_site_fract_x
_atom_site_fract_y
_atom_site_fract_z
Sc1 Sc 0.000 0.000 0.000
Pb1 Pb 0.000 0.500 0.500
Pb2 Pb 0.333 0.667 0.000
Pb3 Pb 0.500 0.000 0.500
Pb4 Pb 0.500 0.500 0.500
Pb5 Pb 0.667 0.333 0.000
```

Output
- N(E_F): 5.18 states/eV/f.u.
- Symmetry: P6/mmm
- Crystal system: hexagonal

1 comes first in stability; the runner-up is 0.311 eV/atom higher.

1.
Here is a relaxed structure of ScPb5 from the Alexandria database. Energies are from PBE-GGA.

Structure (CIF):
```
data_ScPb5
_symmetry_space_group_name_H-M 'P 1'
_symmetry_Int_Tables_number 1
_symmetry_space_group_name_Hall 'P 1'
_cell_length_a 4.585
_cell_length_b 16.366
_cell_length_c 4.736
_cell_angle_alpha 90.00
_cell_angle_beta 90.00
_cell_angle_gamma 90.00
loop_
_atom_site_label
_atom_site_type_symbol
_atom_site_fract_x
_atom_site_fract_y
_atom_site_fract_z
Sc1 Sc 0.000 0.000 0.000
Sc2 Sc 0.500 0.500 0.000
Pb1 Pb 0.000 0.163 0.500
Pb2 Pb 0.000 0.345 0.000
Pb3 Pb 0.000 0.500 0.500
Pb4 Pb 0.000 0.655 0.000
Pb5 Pb 0.000 0.837 0.500
Pb6 Pb 0.500 0.000 0.500
Pb7 Pb 0.500 0.155 0.000
Pb8 Pb 0.500 0.337 0.500
Pb9 Pb 0.500 0.663 0.500
Pb10 Pb 0.500 0.845 0.000
```

Output
- N(E_F): 4.86 states/eV/f.u.
- Symmetry: Cmmm
- Crystal system: orthorhombic

2.
Here is a relaxed structure of ScPb5 from the Alexandria database. Energies are from PBE-GGA.

Structure (CIF):
```
data_ScPb5
_symmetry_space_group_name_H-M 'P 1'
_symmetry_Int_Tables_number 1
_symmetry_space_group_name_Hall 'P 1'
_cell_length_a 6.442
_cell_length_b 6.442
_cell_length_c 6.442
_cell_angle_alpha 60.00
_cell_angle_beta 60.00
_cell_angle_gamma 60.00
loop_
_atom_site_label
_atom_site_type_symbol
_atom_site_fract_x
_atom_site_fract_y
_atom_site_fract_z
Sc1 Sc 0.000 0.000 0.000
Pb1 Pb 0.375 0.375 0.375
Pb2 Pb 0.375 0.375 0.876
Pb3 Pb 0.375 0.876 0.375
Pb4 Pb 0.750 0.750 0.750
Pb5 Pb 0.876 0.375 0.375
```

Output
- N(E_F): 7.11 states/eV/f.u.
- Symmetry: F-43m
- Crystal system: cubic

1 comes first in stability; the runner-up is 0.225 eV/atom higher.